Record 1
## ReW5 (PBE)

Data for crystalline ReW5 at its relaxed geometry.

Calculated values
Formation enthalpy at 0 K in eV per atom: 0.48

```
data_ReW5
_chemical_formula_sum 'Re4 W20'
_space_group_name_H-M_alt 'F -4 3 m'
_space_group_IT_number 216
_space_group_name_Hall 'F -4 2 3'
_cell_length_a 7.357
_cell_length_b 7.357
_cell_length_c 7.357
_cell_angle_alpha 90.00
_cell_angle_beta 90.00
_cell_angle_gamma 90.00
loop_
_atom_site_label
_atom_site_fract_x
_atom_site_fract_y
_atom_site_fract_z
_atom_site_occupancy
Re1 0.000 0.000 0.000 1
W1 0.125 0.125 0.625 1
W2 0.250 0.250 0.250 1
```

=====

Record 2
## ZrTlPt3 (PBE)

Data for crystalline ZrTlPt3 at its relaxed geometry.

Calculated values
Formation enthalpy at 0 K in eV per atom: 0.50

```
data_ZrTlPt3
_chemical_formula_sum 'Zr1 Tl1 Pt3'
_space_group_name_H-M_alt 'P m -3 m'
_space_group_IT_number 221
_space_group_name_Hall '-P 4 2 3'
_cell_length_a 5.072
_cell_length_b 5.072
_cell_length_c 5.072
_cell_angle_alpha 90.00
_cell_angle_beta 90.00
_cell_angle_gamma 90.00
loop_
_atom_site_label
_atom_site_fract_x
_atom_site_fract_y
_atom_site_fract_z
_atom_site_occupancy
Zr1 0.000 0.000 0.000 1
Tl1 0.500 0.500 0.500 1
Pt1 0.000 0.000 0.500 1
```

=====

Record 3
## NbNi2Se2 (PBE)

Data for crystalline NbNi2Se2 at its relaxed geometry.

Calculated values
Energy relative to the elements, uncorrected in eV per formula unit: -0.57

```
data_NbNi2Se2
_chemical_formula_sum 'Nb2 Ni4 Se4'
_space_group_name_H-M_alt 'P 4/m b m'
_space_group_IT_number 127
_space_group_name_Hall '-P 4 2ab'
_cell_length_a 6.881
_cell_length_b 6.881
_cell_length_c 3.191
_cell_angle_alpha 90.00
_cell_angle_beta 90.00
_cell_angle_gamma 90.00
loop_
_atom_site_label
_atom_site_fract_x
_atom_site_fract_y
_atom_site_fract_z
_atom_site_occupancy
Nb1 0.000 0.000 0.000 1
Ni1 0.140 0.360 0.500 1
Se1 0.163 0.663 0.000 1
```

=====

In the order shown, the computed magnetization values come out to 0.00; 0.00; 0.00 Bohr magnetons per cell.
In the order shown, the computed volume values come out to 398; 130; 151 Å³/cell.
In the order shown, the computed E values come out to -12.391; -5.308; -5.834 eV per atom.